No. 1
This record from Alexandria via LeMat-Bulk describes an optimized crystal structure of MoAsSe2N. The functional is PBE-GGA.

```
data_MoAsSe2N
_cell_length_a 4.920
_cell_length_b 4.920
_cell_length_c 4.948
_cell_angle_alpha 90.00
_cell_angle_beta 90.00
_cell_angle_gamma 90.00
_space_group_name_H-M_alt 'P 1'
_space_group_IT_number 1
_space_group_name_Hall 'P 1'
loop_
_atom_site_label
_atom_site_type_symbol
_atom_site_fract_x
_atom_site_fract_y
_atom_site_fract_z
Se1 Se 0.500 0.000 0.000
Se2 Se 0.000 0.500 0.000
As1 As 0.000 0.000 0.500
Mo1 Mo 0.000 0.000 0.000
N1 N 0.500 0.500 0.500
```

Computed properties:
- Excess energy over the best structure of this formula in the dataset: 858 meV per atom
- Symmetry: P4/mmm, No. 123
- E_form (uncorrected): 1230 meV per atom

No. 2
This record from Alexandria via LeMat-Bulk describes an optimized crystal structure of TaTc2SnPd. The functional is PBE-GGA.

```
data_TaTc2SnPd
_cell_length_a 4.762
_cell_length_b 4.911
_cell_length_c 4.762
_cell_angle_alpha 90.00
_cell_angle_beta 90.00
_cell_angle_gamma 90.00
_space_group_name_H-M_alt 'P 1'
_space_group_IT_number 1
_space_group_name_Hall 'P 1'
loop_
_atom_site_label
_atom_site_type_symbol
_atom_site_fract_x
_atom_site_fract_y
_atom_site_fract_z
Tc1 Tc 0.500 0.000 0.000
Tc2 Tc 0.000 0.000 0.500
Pd1 Pd 0.000 0.500 0.000
Sn1 Sn 0.500 0.500 0.500
Ta1 Ta 0.000 0.000 0.000
```

Computed properties:
- Symmetry: P4/mmm, No. 123
- ΔH_f (0 K): 1.24 eV per atom

| no. | DFT total energy (eV/atom) | total moment (μB/cell) |
| --- | --- | --- |
| 1 | -4.93 | 2.76 |
| 2 | -7.11 | 2.08 |